No. 1
Compound: SrHfS3
Source: the Alexandria database
Functional: PBE-GGA
Structure: optimized geometry

Computed properties:
ΔE_f (raw): -6.88 eV/f.u.
total DFT energy (no corrections): -123.59 eV for the cell shown
density: 3.00 Mg/m³

The structure in CIF format:
```
data_SrHfS3
_space_group_name_H-M_alt 'C m c m'
_space_group_IT_number 63
_space_group_name_Hall '-C 2c 2'
_cell_length_a 7.098
_cell_length_b 17.958
_cell_length_c 6.294
_cell_angle_alpha 90.00
_cell_angle_beta 90.00
_cell_angle_gamma 90.00
loop_
_atom_site_label
_atom_site_fract_x
_atom_site_fract_y
_atom_site_fract_z
Sr1 0.000 0.197 0.250
Hf1 0.000 0.403 0.250
S1 0.000 0.500 0.000
S2 0.237 0.179 0.750
```

No. 2
Compound: SrHfS3
Source: the Alexandria database
Functional: PBE-GGA
Structure: optimized geometry

Computed properties:
ΔE_f (raw): -7.35 eV/f.u.
total DFT energy (no corrections): -62.73 eV for the cell shown
density: 5.67 Mg/m³

The structure in CIF format:
```
data_SrHfS3
_space_group_name_H-M_alt 'P 63/m m c'
_space_group_IT_number 194
_space_group_name_Hall '-P 6c 2c'
_cell_length_a 4.8772
_cell_length_b 4.8772
_cell_length_c 10.3103
_cell_angle_alpha 90.00
_cell_angle_beta 90.00
_cell_angle_gamma 120.00
loop_
_atom_site_label
_atom_site_fract_x
_atom_site_fract_y
_atom_site_fract_z
Sr1 0.3333 0.6667 0.2500
Hf1 0.0000 0.0000 0.0000
S1 0.0000 0.0000 0.2500
S2 0.3333 0.6667 0.5344
```

Q: Which of these has the lowest density?
A: number 1

Please write out number 2 again, unchanged.
Compound: SrHfS3
Source: the Alexandria database
Functional: PBE-GGA
Structure: optimized geometry

Computed properties:
ΔE_f (raw): -7.35 eV/f.u.
total DFT energy (no corrections): -62.73 eV for the cell shown
density: 5.67 Mg/m³

The structure in CIF format:
```
data_SrHfS3
_space_group_name_H-M_alt 'P 63/m m c'
_space_group_IT_number 194
_space_group_name_Hall '-P 6c 2c'
_cell_length_a 4.8772
_cell_length_b 4.8772
_cell_length_c 10.3103
_cell_angle_alpha 90.00
_cell_angle_beta 90.00
_cell_angle_gamma 120.00
loop_
_atom_site_label
_atom_site_fract_x
_atom_site_fract_y
_atom_site_fract_z
Sr1 0.3333 0.6667 0.2500
Hf1 0.0000 0.0000 0.0000
S1 0.0000 0.0000 0.2500
S2 0.3333 0.6667 0.5344
```

What did the second record say?
Compound: SrHfS3
Source: the Alexandria database
Functional: PBE-GGA
Structure: optimized geometry

Computed properties:
ΔE_f (raw): -7.35 eV/f.u.
total DFT energy (no corrections): -62.73 eV for the cell shown
density: 5.67 Mg/m³

The structure in CIF format:
```
data_SrHfS3
_space_group_name_H-M_alt 'P 63/m m c'
_space_group_IT_number 194
_space_group_name_Hall '-P 6c 2c'
_cell_length_a 4.8772
_cell_length_b 4.8772
_cell_length_c 10.3103
_cell_angle_alpha 90.00
_cell_angle_beta 90.00
_cell_angle_gamma 120.00
loop_
_atom_site_label
_atom_site_fract_x
_atom_site_fract_y
_atom_site_fract_z
Sr1 0.3333 0.6667 0.2500
Hf1 0.0000 0.0000 0.0000
S1 0.0000 0.0000 0.2500
S2 0.3333 0.6667 0.5344
```

Copy entry 1 word for word.
Compound: SrHfS3
Source: the Alexandria database
Functional: PBE-GGA
Structure: optimized geometry

Computed properties:
ΔE_f (raw): -6.88 eV/f.u.
total DFT energy (no corrections): -123.59 eV for the cell shown
density: 3.00 Mg/m³

The structure in CIF format:
```
data_SrHfS3
_space_group_name_H-M_alt 'C m c m'
_space_group_IT_number 63
_space_group_name_Hall '-C 2c 2'
_cell_length_a 7.098
_cell_length_b 17.958
_cell_length_c 6.294
_cell_angle_alpha 90.00
_cell_angle_beta 90.00
_cell_angle_gamma 90.00
loop_
_atom_site_label
_atom_site_fract_x
_atom_site_fract_y
_atom_site_fract_z
Sr1 0.000 0.197 0.250
Hf1 0.000 0.403 0.250
S1 0.000 0.500 0.000
S2 0.237 0.179 0.750
```